[1]
Compound: CrRhW2
Source: Alexandria via LeMat-Bulk
Functional: PBE
Structure: optimized geometry

Values from the calculation:
Electronic total energy, eV/atom: -10.563
DOS at the Fermi energy, states/eV/cell: 14.595
Offset from the most stable computed form, meV/atom: 64

CIF file:
```
data_CrRhW2
_cell_length_a 6.2159
_cell_length_b 6.2159
_cell_length_c 6.2159
_cell_angle_alpha 90.00
_cell_angle_beta 90.00
_cell_angle_gamma 90.00
_space_group_name_H-M_alt 'F -4 3 m'
_space_group_IT_number 216
_space_group_name_Hall 'F -4 2 3'
loop_
_atom_site_label
_atom_site_fract_x
_atom_site_fract_y
_atom_site_fract_z
Cr1 0.0000 0.0000 0.0000
Rh1 0.2500 0.2500 0.2500
W1 0.0000 0.0000 0.5000
W2 0.2500 0.2500 0.7500
```



[2]
Compound: TaP2Au
Source: Alexandria via LeMat-Bulk
Functional: PBE
Structure: optimized geometry

Values from the calculation:
Electronic total energy, eV/atom: -6.496
DOS at the Fermi energy, states/eV/cell: 2.465
Offset from the most stable computed form, meV/atom: 202

CIF file:
```
data_TaP2Au
_cell_length_a 5.6610
_cell_length_b 5.6610
_cell_length_c 11.1413
_cell_angle_alpha 90.00
_cell_angle_beta 90.00
_cell_angle_gamma 90.00
_space_group_name_H-M_alt 'I -4 2 d'
_space_group_IT_number 122
_space_group_name_Hall 'I -4 2bw'
loop_
_atom_site_label
_atom_site_fract_x
_atom_site_fract_y
_atom_site_fract_z
Ta1 0.0000 0.0000 0.0000
P1 0.2396 0.2500 0.1250
Au1 0.0000 0.0000 0.5000
```



[3]
Compound: NaGe3Au
Source: Alexandria via LeMat-Bulk
Functional: PBE
Structure: optimized geometry

Values from the calculation:
Electronic total energy, eV/atom: -3.234
DOS at the Fermi energy, states/eV/cell: 3.464
Offset from the most stable computed form, meV/atom: 564

CIF file:
```
data_NaGe3Au
_cell_length_a 5.1426
_cell_length_b 5.1426
_cell_length_c 5.1426
_cell_angle_alpha 90.00
_cell_angle_beta 90.00
_cell_angle_gamma 90.00
_space_group_name_H-M_alt 'P m -3 m'
_space_group_IT_number 221
_space_group_name_Hall '-P 4 2 3'
loop_
_atom_site_label
_atom_site_fract_x
_atom_site_fract_y
_atom_site_fract_z
Na1 0.0000 0.0000 0.0000
Ge1 0.0000 0.5000 0.5000
Au1 0.5000 0.5000 0.5000
```



[4]
Compound: Ti2Al5MoAu2
Source: Alexandria via LeMat-Bulk
Functional: PBE
Structure: optimized geometry

Values from the calculation:
Electronic total energy, eV/atom: -5.396
DOS at the Fermi energy, states/eV/cell: 15.828

CIF file:
```
data_Ti2Al5MoAu2
_cell_length_a 9.1615
_cell_length_b 9.1615
_cell_length_c 3.9923
_cell_angle_alpha 90.00
_cell_angle_beta 90.00
_cell_angle_gamma 90.00
_space_group_name_H-M_alt 'P 4/m b m'
_space_group_IT_number 127
_space_group_name_Hall '-P 4 2ab'
loop_
_atom_site_label
_atom_site_fract_x
_atom_site_fract_y
_atom_site_fract_z
Ti1 0.1613 0.3387 0.0000
Al1 0.0000 0.5000 0.5000
Al2 0.0773 0.8088 0.5000
Mo1 0.0000 0.0000 0.0000
Au1 0.1346 0.6346 0.0000
```



[5]
Compound: TbNdY2Tm
Source: Alexandria via LeMat-Bulk
Functional: PBE
Structure: optimized geometry

Values from the calculation:
Electronic total energy, eV/atom: -4.966
DOS at the Fermi energy, states/eV/cell: 29.971

CIF file:
```
data_TbNdY2Tm
_cell_length_a 8.4319
_cell_length_b 11.4677
_cell_length_c 7.2245
_cell_angle_alpha 90.00
_cell_angle_beta 90.00
_cell_angle_gamma 90.00
_space_group_name_H-M_alt 'C m c m'
_space_group_IT_number 63
_space_group_name_Hall '-C 2c 2'
loop_
_atom_site_label
_atom_site_fract_x
_atom_site_fract_y
_atom_site_fract_z
Tb1 0.0000 0.0030 0.2500
Nd1 0.0000 0.2711 0.2500
Y1 0.1899 0.5000 0.0000
Tm1 0.0000 0.2762 0.7500
```



[6]
Compound: K2PuNpBr8
Source: Alexandria via LeMat-Bulk
Functional: PBE
Structure: optimized geometry

Values from the calculation:
Electronic total energy, eV/atom: -5.096
DOS at the Fermi energy, states/eV/cell: 17.307
Energy relative to the elements, uncorrected, eV/atom: -1.53

CIF file:
```
data_K2PuNpBr8
_cell_length_a 7.1633
_cell_length_b 7.5564
_cell_length_c 8.9728
_cell_angle_alpha 90.11
_cell_angle_beta 90.46
_cell_angle_gamma 92.80
_space_group_name_H-M_alt 'P -1'
_space_group_IT_number 2
loop_
_space_group_symop_operation_xyz
'x,y,z'
'-x,-y,-z'
loop_
_atom_site_label
_atom_site_fract_x
_atom_site_fract_y
_atom_site_fract_z
K1 0.0004 0.0006 0.2494
Pu1 0.5000 0.5000 0.0000
Np1 0.5000 0.5000 0.5000
Br1 0.2677 0.1847 0.0016
Br2 0.2736 0.1849 0.5025
Br3 0.2820 0.6345 0.2532
Br4 0.2821 0.6347 0.7445
```



[7]
Compound: MgAg5F8
Source: Alexandria via LeMat-Bulk
Functional: PBE
Structure: optimized geometry

Values from the calculation:
Electronic total energy, eV/atom: -3.694
DOS at the Fermi energy, states/eV/cell: 29.135
Energy relative to the elements, uncorrected, eV/atom: -1.49

CIF file:
```
data_MgAg5F8
_cell_length_a 7.4698
_cell_length_b 7.4698
_cell_length_c 7.3252
_cell_angle_alpha 90.00
_cell_angle_beta 90.00
_cell_angle_gamma 90.00
_space_group_name_H-M_alt 'I -4'
_space_group_IT_number 82
loop_
_space_group_symop_operation_xyz
'x,y,z'
'y,-x,-z'
'-x,-y,z'
'-y,x,-z'
'x+1/2,y+1/2,z+1/2'
'y+1/2,-x+1/2,-z+1/2'
'-x+1/2,-y+1/2,z+1/2'
'-y+1/2,x+1/2,-z+1/2'
loop_
_atom_site_label
_atom_site_fract_x
_atom_site_fract_y
_atom_site_fract_z
Mg1 0.0000 0.0000 0.0000
Ag1 0.0000 0.5000 0.7500
Ag2 0.1603 0.7587 0.3807
F1 0.0381 0.7475 0.0704
F2 0.0597 0.8123 0.6884
```



[8]
Compound: KRb2CuF4
Source: Alexandria via LeMat-Bulk
Functional: PBE
Structure: optimized geometry

Values from the calculation:
Electronic total energy, eV/atom: -4.010
Energy relative to the elements, uncorrected, eV/atom: -2.18

CIF file:
```
data_KRb2CuF4
_cell_length_a 3.7815
_cell_length_b 12.7257
_cell_length_c 13.7751
_cell_angle_alpha 90.00
_cell_angle_beta 90.00
_cell_angle_gamma 90.00
_space_group_name_H-M_alt 'C m c m'
_space_group_IT_number 63
_space_group_name_Hall '-C 2c 2'
loop_
_atom_site_label
_atom_site_fract_x
_atom_site_fract_y
_atom_site_fract_z
K1 0.0000 0.1112 0.2500
Rb1 0.0000 0.3640 0.0498
Cu1 0.0000 0.1624 0.7500
F1 0.0000 0.0000 0.0000
F2 0.0000 0.2777 0.6410
F3 0.0000 0.4212 0.2500
```



[9]
Compound: LaCdH6Rh2
Source: Alexandria via LeMat-Bulk
Functional: PBE
Structure: optimized geometry

Values from the calculation:
Electronic total energy, eV/atom: -4.376
DOS at the Fermi energy, states/eV/cell: 8.060

CIF file:
```
data_LaCdH6Rh2
_cell_length_a 4.7462
_cell_length_b 4.7462
_cell_length_c 16.0176
_cell_angle_alpha 90.00
_cell_angle_beta 90.00
_cell_angle_gamma 120.00
_space_group_name_H-M_alt 'R -3 m'
_space_group_IT_number 166
_space_group_name_Hall '-R 3 2"'
loop_
_atom_site_label
_atom_site_fract_x
_atom_site_fract_y
_atom_site_fract_z
La1 0.0000 0.0000 0.0000
Cd1 0.0000 0.0000 0.5000
H1 0.0239 0.5120 0.9423
Rh1 0.0000 0.0000 0.2113
```



[10]
Compound: Tl2Br3
Source: Alexandria via LeMat-Bulk
Functional: PBE
Structure: optimized geometry

Values from the calculation:
Electronic total energy, eV/atom: -2.596
DOS at the Fermi energy, states/eV/cell: 22.452
Offset from the most stable computed form, meV/atom: 0
Energy relative to the elements, uncorrected, eV/atom: -0.65

CIF file:
```
data_Tl2Br3
_cell_length_a 7.7465
_cell_length_b 7.7465
_cell_length_c 22.1464
_cell_angle_alpha 90.00
_cell_angle_beta 90.00
_cell_angle_gamma 120.00
_space_group_name_H-M_alt 'R -3 c'
_space_group_IT_number 167
_space_group_name_Hall '-R 3 2"c'
loop_
_atom_site_label
_atom_site_fract_x
_atom_site_fract_y
_atom_site_fract_z
Tl1 0.0000 0.0000 0.1564
Br1 0.0000 0.3176 0.2500
```



[11]
Compound: CrMo2Au
Source: Alexandria via LeMat-Bulk
Functional: PBE
Structure: optimized geometry

Values from the calculation:
Electronic total energy, eV/atom: -8.360
DOS at the Fermi energy, states/eV/cell: 3.599
Offset from the most stable computed form, meV/atom: 67

CIF file:
```
data_CrMo2Au
_cell_length_a 3.2705
_cell_length_b 3.2705
_cell_length_c 5.8303
_cell_angle_alpha 90.00
_cell_angle_beta 90.00
_cell_angle_gamma 90.00
_space_group_name_H-M_alt 'P 4/m m m'
_space_group_IT_number 123
_space_group_name_Hall '-P 4 2'
loop_
_atom_site_label
_atom_site_fract_x
_atom_site_fract_y
_atom_site_fract_z
Cr1 0.0000 0.0000 0.0000
Mo1 0.5000 0.5000 0.2091
Au1 0.0000 0.0000 0.5000
```



Question: Which value of electronic total energy does entry 2 give?
Answer: -6.496 eV/atom



Question: Number 11 is which compound?
Answer: CrMo2Au



Question: Among the records above, which one has the highest electronic total energy?
Answer: Tl2Br3



Question: The lowest electronic total energy belongs to which entry?
Answer: CrRhW2